The following is a DFT calculation (PBEsol) of an optimized crystal structure of GaPbS3.

Its uncorrected formation energy is 0.460 eV/atom.

It has space group Pm-3m (No. 221), with a = 5.118 Å, b = 5.118 Å, c = 5.118 Å, α = 90.00°, β = 90.00° and γ = 90.00°. The distinct sites, in fractional coordinates, are Ga at (0.000, 0.000, 0.000), Pb at (0.500, 0.500, 0.500) and S at (0.000, 0.500, 0.500).



The following is a DFT calculation (PBEsol) of an optimized crystal structure of Ga3SbPb.

Its uncorrected formation energy is 0.687 eV/atom.

It has space group Pm-3m (No. 221), with a = 5.262 Å, b = 5.262 Å, c = 5.262 Å, α = 90.00°, β = 90.00° and γ = 90.00°. The distinct sites, in fractional coordinates, are Ga at (0.000, 0.000, 0.500), Sb at (0.500, 0.500, 0.500) and Pb at (0.000, 0.000, 0.000).



The following is a DFT calculation (PBEsol) of an optimized crystal structure of Ga2SbPb2.

Its uncorrected formation energy is 0.091 eV/atom.

It has space group I4/mmm (No. 139), with a = 3.799 Å, b = 3.799 Å, c = 17.547 Å, α = 90.00°, β = 90.00° and γ = 90.00°. The distinct sites, in fractional coordinates, are Ga at (0.000, 0.500, 0.250), Sb at (0.000, 0.000, 0.000) and Pb at (0.000, 0.000, 0.394).



The following is a DFT calculation (PBEsol) of an optimized crystal structure of GaSbPb3.

Its uncorrected formation energy is 0.734 eV/atom.

It has space group Pm-3m (No. 221), with a = 5.777 Å, b = 5.777 Å, c = 5.777 Å, α = 90.00°, β = 90.00° and γ = 90.00°. The distinct sites, in fractional coordinates, are Ga at (0.000, 0.000, 0.000), Sb at (0.500, 0.500, 0.500) and Pb at (0.000, 0.500, 0.500).



The following is a DFT calculation (PBEsol) of an optimized crystal structure of Sc2Ga2Pb.

The energy of formation comes out at -2.405 eV/f.u.

It has space group P4/mbm (No. 127), with a = 7.686 Å, b = 7.686 Å, c = 3.437 Å, α = 90.00°, β = 90.00° and γ = 90.00°. The distinct sites, in fractional coordinates, are Sc at (0.180, 0.320, 0.000), Ga at (0.116, 0.616, 0.500) and Pb at (0.000, 0.000, 0.500).



The following is a DFT calculation (PBEsol) of an optimized crystal structure of ScGa3Pb.

The energy of formation comes out at 3.874 eV/f.u.

It has space group Pm-3m (No. 221), with a = 5.225 Å, b = 5.225 Å, c = 5.225 Å, α = 90.00°, β = 90.00° and γ = 90.00°. The distinct sites, in fractional coordinates, are Sc at (0.000, 0.000, 0.000), Ga at (0.000, 0.500, 0.500) and Pb at (0.500, 0.500, 0.500).



The following is a DFT calculation (PBEsol) of an optimized crystal structure of Ga2PbSe4.

Its uncorrected formation energy is -0.570 eV/atom.

It has space group Cccm (No. 66), with a = 6.239 Å, b = 10.667 Å, c = 10.725 Å, α = 90.00°, β = 90.00° and γ = 90.00°. The distinct sites, in fractional coordinates, are Ga at (0.002, 0.238, 0.000), Pb at (0.000, 0.500, 0.250), Se at (0.232, 0.423, 0.500) and Se at (0.250, 0.250, 0.174).



The following is a DFT calculation (PBEsol) of an optimized crystal structure of Ga2Sn2Pb.

The value obtained for the excess energy over the best structure of this formula in the dataset is 0.085 eV per formula unit. The energy of formation comes out at 0.314 eV/f.u.

It has space group I4/mmm (No. 139), with a = 3.937 Å, b = 3.937 Å, c = 15.754 Å, α = 90.00°, β = 90.00° and γ = 90.00°. The distinct sites, in fractional coordinates, are Ga at (0.000, 0.500, 0.250), Sn at (0.000, 0.000, 0.114) and Pb at (0.000, 0.000, 0.500).



The following is a DFT calculation (PBEsol) of an optimized crystal structure of Ga2Sn2Pb.

The value obtained for the excess energy over the best structure of this formula in the dataset is 0.000 eV per formula unit. The energy of formation comes out at 0.229 eV/f.u.

It has space group P4/mbm (No. 127), with a = 8.490 Å, b = 8.490 Å, c = 3.342 Å, α = 90.00°, β = 90.00° and γ = 90.00°. The distinct sites, in fractional coordinates, are Ga at (0.151, 0.349, 0.000), Sn at (0.144, 0.644, 0.500) and Pb at (0.000, 0.000, 0.500).



The following is a DFT calculation (PBEsol) of an optimized crystal structure of GaSn2Pb2.

The energy of formation comes out at 0.487 eV/f.u.

It has space group P4/mbm (No. 127), with a = 7.300 Å, b = 7.300 Å, c = 5.170 Å, α = 90.00°, β = 90.00° and γ = 90.00°. The distinct sites, in fractional coordinates, are Ga at (0.000, 0.000, 0.000), Sn at (0.141, 0.359, 0.000) and Pb at (0.183, 0.683, 0.500).



The following is a DFT calculation (PBEsol) of an optimized crystal structure of Ga2SnPb2.

The value obtained for the excess energy over the best structure of this formula in the dataset is 0.177 eV per formula unit. The energy of formation comes out at 0.435 eV/f.u.

It has space group I4/mmm (No. 139), with a = 3.722 Å, b = 3.722 Å, c = 18.227 Å, α = 90.00°, β = 90.00° and γ = 90.00°. The distinct sites, in fractional coordinates, are Ga at (0.000, 0.500, 0.250), Sn at (0.000, 0.000, 0.000) and Pb at (0.000, 0.000, 0.389).



The following is a DFT calculation (PBEsol) of an optimized crystal structure of Ga2SnPb2.

The value obtained for the excess energy over the best structure of this formula in the dataset is 0.000 eV per formula unit. The energy of formation comes out at 0.258 eV/f.u.

It has space group P4/mbm (No. 127), with a = 7.311 Å, b = 7.311 Å, c = 4.651 Å, α = 90.00°, β = 90.00° and γ = 90.00°. The distinct sites, in fractional coordinates, are Ga at (0.124, 0.376, 0.000), Sn at (0.000, 0.000, 0.000) and Pb at (0.184, 0.684, 0.500).



| no. | total DFT energy (no corrections) (eV per atom) |
| --- | --- |
| 1 | -3.638 |
| 2 | -3.028 |
| 3 | -3.756 |
| 4 | -3.245 |
| 5 | -5.259 |
| 6 | -3.350 |
| 7 | -4.295 |
| 8 | -3.777 |
| 9 | -3.794 |
| 10 | -3.874 |
| 11 | -3.700 |
| 12 | -3.736 |